Entry 1:
Entry from Alexandria via LeMat-Bulk: an optimized crystal structure of TaCoSiTc (PBE).

Lattice parameters (Å, degrees): 6.042 6.042 6.042 90.00 90.00 90.00
Space group F-43m (No. 216)
Asymmetric unit:
1 Ta 0.000 0.000 0.000 [4 per cell]
2 Co 0.250 0.250 0.250 [4 per cell]
3 Si 0.000 0.000 0.500 [4 per cell]
4 Tc 0.250 0.250 0.750 [4 per cell]

Output
Uncorrected formation energy = -0.3748 eV per atom
Magnetization = 3.9 μB/cell
D(E_F) = 0.4017 states/eV/atom
Crystal system = cubic
Calculated volume = 220.5 Å³ per cell

***

Entry 2:
Entry from Alexandria via LeMat-Bulk: an optimized crystal structure of Ca2ErCd (PBE).

Lattice parameters (Å, degrees): 4.104 4.104 7.518 90.00 90.00 90.00
Space group P4/mmm (No. 123)
Asymmetric unit:
1 Ca 0.000 0.000 0.231 [2 per cell]
2 Er 0.500 0.500 0.500 [1 per cell]
3 Cd 0.500 0.500 0.000 [1 per cell]

Output
Magnetization = 0.0 μB/cell
D(E_F) = 0.8596 states/eV/atom
Crystal system = tetragonal
Formation energy from the elements = -44 meV/atom
Calculated volume = 126.6 Å³ per cell

***

Q: Which value of calculated volume does entry 1 give?
A: 220.5 Å³ per cell

***

Q: Among the records above, which one has the lowest D(E_F)?
A: TaCoSiTc

***

Q: Which formula does entry 1 have?
A: TaCoSiTc